First-principles (GGA-PBE) data for AcH4Pd2 after structural relaxation, as listed in the Alexandria database.

Calculated values
The calculation puts the excess energy over the best structure of this formula in the dataset at 31.0 meV/atom. The value obtained for the total energy is -4.296 eV/atom. As for the crystal system: orthorhombic. For the magnetization, the calculation gives 0.0 μB/f.u. For the density of states at the Fermi level, the calculation gives 2.0 states/eV per cell.

Cell lengths 3.6451, 5.1674, 9.2349 Å; angles 90.00, 90.00, 110.65 degrees
With the nearest neighbours (Å) after each atom.
Atoms (fractional coordinates):
Ac (0.4141, 0.8282, 0.2500)  4 H 2.45-2.58
H (0.7319, 0.4639, 0.0876)  1 Pd 1.78
H (0.7319, 0.4639, 0.4124)  1 Pd 1.78
Pd (0.8593, 0.7186, 0.5520)  2 H 1.78-1.86
H (0.2681, 0.5361, 0.5876)  1 Pd 1.78
H (0.1036, 0.2073, 0.2500)  2 Pd 1.86
H (0.5000, 0.0000, 0.0000)  4 Pd 2.32, 2 H 2.38, 2 Ac 2.45
H (0.5000, 0.0000, 0.5000)  4 Pd 2.32, 2 H 2.38, 2 Ac 2.45
Pd (0.1407, 0.2814, 0.0520)  2 H 1.78-1.86
Pd (0.1407, 0.2814, 0.4480)  2 H 1.78-1.86
H (0.2681, 0.5361, 0.9124)  1 Pd 1.78
Pd (0.8593, 0.7186, 0.9480)  2 H 1.78-1.86
Ac (0.5859, 0.1718, 0.7500)  4 H 2.45-2.58
H (0.8964, 0.7927, 0.7500)  2 Pd 1.86



First-principles (GGA-PBE) data for SmCd4Ag8 after structural relaxation, as listed in the Alexandria database.

Calculated values
The value obtained for the total energy is -2.470 eV/atom. As for the crystal system: tetragonal. As for the formation enthalpy at 0 K: -0.9 eV/f.u. For the magnetization, the calculation gives 0.0 μB/f.u. For the density of states at the Fermi level, the calculation gives 5.1 states/eV per cell.

Cell lengths 5.6682, 7.4204, 7.4204 Å; angles 81.61, 67.55, 67.55 degrees
With the nearest neighbours (Å) after each atom.
Atoms (fractional coordinates):
Ag (0.0000, 0.3504, 0.6496)  5 Ag 2.90-3.15, 4 Cd 2.97
Ag (0.2886, 0.2114, 0.2114)  4 Cd 2.83, 6 Ag 2.90-3.15
Cd (0.0000, 0.5000, 0.0000)  8 Ag 2.83-2.97, 2 Cd 2.83
Cd (0.5000, 0.5000, 0.0000)  8 Ag 2.83-2.97, 2 Cd 2.83
Ag (0.7114, 0.7886, 0.7886)  4 Cd 2.83, 6 Ag 2.90-3.15
Ag (0.3504, 0.6496, 0.6496)  5 Ag 2.90-3.15, 4 Cd 2.97
Ag (0.6496, 0.3504, 0.3504)  5 Ag 2.90-3.15, 4 Cd 2.97
Sm (0.0000, 0.0000, 0.0000)  12 Ag 3.40-3.50, 8 Cd 3.71
Ag (0.5000, 0.7886, 0.2114)  4 Cd 2.83, 6 Ag 2.90-3.15
Cd (0.0000, 0.0000, 0.5000)  8 Ag 2.83-2.97, 2 Cd 2.83
Ag (0.5000, 0.2114, 0.7886)  4 Cd 2.83, 6 Ag 2.90-3.15
Cd (0.5000, 0.0000, 0.5000)  8 Ag 2.83-2.97, 2 Cd 2.83
Ag (0.0000, 0.6496, 0.3504)  5 Ag 2.90-3.15, 4 Cd 2.97



First-principles (GGA-PBE) data for BaCaH8Pd2 after structural relaxation, as listed in the Alexandria database.

Calculated values
The value obtained for the total energy is -3.525 eV/atom. As for the crystal system: trigonal. For the magnetization, the calculation gives 0.0 μB/f.u. For the density of states at the Fermi level, the calculation gives 4.5 states/eV per cell.

Cell lengths 4.3336, 4.3336, 9.5559 Å; angles 90.00, 90.00, 120.00 degrees
With the nearest neighbours (Å) after each atom.
Atoms (fractional coordinates):
Ca (0.0000, 0.0000, 0.5000)  12 H 2.49
Pd (0.6667, 0.3333, 0.2779)  4 H 1.65-1.78
H (0.5173, 0.0345, 0.6273)  1 Pd 1.65
H (0.4827, 0.9655, 0.3727)  1 Pd 1.65
H (0.9655, 0.4828, 0.6273)  1 Pd 1.65
H (0.0345, 0.5172, 0.3727)  1 Pd 1.65
H (0.4828, 0.5173, 0.3727)  1 Pd 1.65
Ba (0.0000, 0.0000, 0.0000)  6 H 2.65
H (0.3333, 0.6667, 0.9087)  1 Pd 1.78
H (0.5172, 0.4827, 0.6273)  1 Pd 1.65
Pd (0.3333, 0.6667, 0.7221)  4 H 1.65-1.78
H (0.6667, 0.3333, 0.0913)  1 Pd 1.78